# Sr4S2N

A relaxed structure of Sr4S2N (GGA-PBE, Alexandria via LeMat-Bulk).

Summary:
Uncorrected formation energy = -29.8 kcal/mol of atoms
Calculated total energy = -32.349 eV per cell
Calculated volume = 28.3 Å³ per atom
Total magnetic moment = 0.8 μB per formula unit
Energy above the most stable polymorph in this dataset = 0.00 eV/f.u.

Cell lengths 4.0634, 7.1053, 7.9584 Å; angles 115.92, 104.79, 90.00 degrees
Sites, in units of the cell vectors:
Sr 0.3837 0.7419 0.7674
Sr 0.1173 0.8213 0.2346
Sr 0.6163 0.2581 0.2326
Sr 0.8827 0.1787 0.7654
N 0.0000 0.0000 0.0000
S 0.7310 0.7344 0.4620
S 0.2690 0.2656 0.5380